! CdCo2AsO, optimized geometry, DFT PBE with a Hubbard U; values from VASP
&SYSTEM
  ibrav = 0, nat = 5, ntyp = 4
/
ATOMIC_SPECIES
Cd 112.41 Cd.upf
Co 58.93 Co.upf
As 74.92 As.upf
O 16.00 O.upf
ATOMIC_POSITIONS angstrom
Cd 0.0000 0.0000 0.0000
Co 0.0000 2.0021 2.4436
Co 2.0021 0.0000 2.4436
As 2.0021 2.0021 0.0000
O 2.0021 2.0021 2.4436
CELL_PARAMETERS angstrom
4.0043 0.0000 0.0000
0.0000 4.0043 0.0000
0.0000 0.0000 4.8872
! Total DFT energy (no corrections): -3.96 eV per atom
! Total magnetization: 4.2 Bohr magnetons per cell